Entry 1:
VASP calculation (PBE) on a geometry-optimized Tb4Sm5Ho2 structure.

## Properties
- VASP energy: -49.61 eV for the cell shown
- Mass density: 7.67 g/cm3
- Excess energy over the best structure of this formula in the dataset: 0.0 meV per atom
- Total magnetization: 0.0 μB per formula unit

a = 6.817 Å, b = 7.054 Å, c = 8.302 Å
α = 77.62°, β = 77.37°, γ = 75.42°
Space group P-1 (No. 2)
One atom of each set of equivalent atoms:
Tb 0.034 0.257 0.000 [2 per cell]
Tb 0.189 0.859 0.318 [2 per cell]
Sm 0.172 0.358 0.363 [2 per cell]
Sm 0.325 0.515 0.666 [2 per cell]
Sm 0.500 0.500 0.000 [1 per cell]
Ho 0.349 0.979 0.707 [2 per cell]

Entry 2:
VASP calculation (PBE) on a geometry-optimized ScP4Ru structure.

## Properties
- VASP energy: -142.93 eV for the cell shown
- Mass density: 5.03 g/cm3
- Total magnetization: 0.0 μB per formula unit

a = 7.089 Å, b = 7.089 Å, c = 7.089 Å
α = 90.00°, β = 90.00°, γ = 90.00°
Space group F-43m (No. 216)
One atom of each set of equivalent atoms:
Sc 0.000 0.000 0.000 [4 per cell]
P 0.124 0.124 0.624 [16 per cell]
Ru 0.250 0.250 0.250 [4 per cell]

Entry 3:
VASP calculation (PBE) on a geometry-optimized Gd3Er5O12 structure.

## Properties
- VASP energy: -1536.01 eV for the cell shown
- Mass density: 8.20 g/cm3
- Total magnetization: 20.9 μB per formula unit

a = 13.442 Å, b = 13.442 Å, c = 13.442 Å
α = 90.00°, β = 90.00°, γ = 90.00°
Space group Ia-3d (No. 230)
One atom of each set of equivalent atoms:
Gd 0.000 0.250 0.125 [24 per cell]
Er 0.000 0.000 0.000 [16 per cell]
Er 0.000 0.250 0.375 [24 per cell]
O 0.022 0.065 0.653 [96 per cell]

Entry 4:
VASP calculation (PBE) on a geometry-optimized PaAs2BrO8 structure.

## Properties
- VASP energy: -78.43 eV for the cell shown
- Mass density: 3.95 g/cm3
- Total magnetization: 2.0 μB per formula unit

a = 5.7722 Å, b = 5.7722 Å, c = 8.5691 Å
α = 90.00°, β = 90.00°, γ = 120.00°
Space group P-3m1 (No. 164)
One atom of each set of equivalent atoms:
Pa 0.0000 0.0000 0.0000 [1 per cell]
As 0.3333 0.6667 0.7728 [2 per cell]
Br 0.0000 0.0000 0.5000 [1 per cell]
O 0.1750 0.3499 0.8531 [6 per cell]
O 0.3333 0.6667 0.5748 [2 per cell]